1.
Below is a PBEsol-optimized structure of NaTi6Se8, with properties calculated at the SCAN level.

a = 3.5367 Å, b = 9.7107 Å, c = 9.7107 Å
α = 120.00°, β = 90.00°, γ = 90.00°
Last column: nearest neighbours and their distance in Å.
Fractional positions:
1 Na 0.5000 0.0000 0.0000  6 Se 3.26, 2 Na 3.54
2 Ti 0.2507 0.8719 0.3639  6 Se 2.54-2.64
3 Ti 0.2507 0.4920 0.1281  6 Se 2.54-2.64
4 Ti 0.2507 0.6361 0.5080  6 Se 2.54-2.64
5 Ti 0.7493 0.1281 0.6361  6 Se 2.54-2.64
6 Ti 0.7493 0.5080 0.8719  6 Se 2.54-2.64
7 Ti 0.7493 0.3639 0.4920  6 Se 2.54-2.64
8 Se 0.2495 0.3333 0.6667  6 Ti 2.57
9 Se 0.7505 0.6667 0.3333  6 Ti 2.57
10 Se 0.2487 0.7058 0.0506  4 Ti 2.54-2.64
11 Se 0.2487 0.3449 0.2942  4 Ti 2.54-2.64
12 Se 0.2487 0.9494 0.6551  4 Ti 2.54-2.64
13 Se 0.7513 0.2942 0.9494  4 Ti 2.54-2.64
14 Se 0.7513 0.6551 0.7058  4 Ti 2.54-2.64
15 Se 0.7513 0.0506 0.3449  4 Ti 2.54-2.64

Values from the calculation:
DFT total energy (eV for the cell shown): -280.5
Total moment (μB per formula unit): 0.00
Fermi-level density of states (states/eV per atom): 0.531



2.
Below is a PBEsol-optimized structure of ZrMo2Ir, with properties calculated at the SCAN level.

a = 2.7720 Å, b = 5.1702 Å, c = 5.1702 Å
α = 118.63°, β = 90.00°, γ = 90.00°
Last column: nearest neighbours and their distance in Å.
Fractional positions:
1 Ir 0.5000 0.5000 0.5000  2 Zr 2.64, 2 Ir 2.77, 8 Mo 2.93
2 Mo 0.0000 0.5000 0.0000  4 Mo 2.64-2.77, 4 Zr 2.93, 4 Ir 2.93
3 Mo 0.0000 0.0000 0.5000  4 Mo 2.64-2.77, 4 Ir 2.93, 4 Zr 2.93
4 Zr 0.5000 0.0000 0.0000  2 Ir 2.64, 2 Zr 2.77, 8 Mo 2.93

Values from the calculation:
Total moment (μB per formula unit): 0.00
Fermi-level density of states (states/eV per atom): 0.839
Energy of formation (eV per atom): 0.0426
Polymorph energy (0 for the lowest one) (eV per atom): 0.306



3.
Below is a PBEsol-optimized structure of BePdO2F, with properties calculated at the SCAN level.

a = 3.1126 Å, b = 3.6730 Å, c = 3.6730 Å
α = 90.00°, β = 90.00°, γ = 90.00°
Last column: nearest neighbours and their distance in Å.
Fractional positions:
1 Be 0.0000 0.0000 0.0000  2 F 1.56
2 O 0.0000 0.0000 0.5000  2 Be 1.84
3 O 0.0000 0.5000 0.0000  2 Be 1.84
4 Pd 0.5000 0.5000 0.5000  8 O 2.41, 4 F 2.60
5 F 0.5000 0.0000 0.0000  2 Be 1.56

Values from the calculation:
DFT total energy (eV for the cell shown): -58.7
Total moment (μB per formula unit): 0.00
Fermi-level density of states (states/eV per atom): 0.499



4.
Below is a PBEsol-optimized structure of CrTc, with properties calculated at the SCAN level.

a = 2.9073 Å, b = 4.1655 Å, c = 4.8805 Å
α = 115.26°, β = 107.33°, γ = 90.00°
Last column: nearest neighbours and their distance in Å.
Fractional positions:
1 Cr 0.1405 0.8905 0.2810  2 Cr 2.33, 6 Tc 2.55-2.58
2 Cr 0.8595 0.1095 0.7190  2 Cr 2.33, 6 Tc 2.55-2.58
3 Tc 0.6159 0.3659 0.2319  6 Cr 2.55-2.58, 4 Tc 2.67-2.84
4 Tc 0.3841 0.6341 0.7681  6 Cr 2.55-2.58, 4 Tc 2.67-2.84

Values from the calculation:
Total moment (μB per formula unit): 0.00
Fermi-level density of states (states/eV per atom): 0.877
Energy of formation (eV per atom): 0.0075



5.
Below is a PBEsol-optimized structure of SrSiHg, with properties calculated at the SCAN level.

a = 4.3947 Å, b = 4.3947 Å, c = 4.6036 Å
α = 90.00°, β = 90.00°, γ = 120.00°
Last column: nearest neighbours and their distance in Å.
Fractional positions:
1 Sr 0.6667 0.3333 0.3334  6 Hg 3.43, 6 Si 3.43
2 Si 0.3333 0.6667 0.8333  3 Hg 2.54
3 Hg 0.0000 0.0000 0.8333  3 Si 2.54

Values from the calculation:
DFT total energy (eV for the cell shown): -102.0
Total moment (μB per formula unit): 0.00
Fermi-level density of states (states/eV per atom): 0.338



6.
Below is a PBEsol-optimized structure of ZrTaTl, with properties calculated at the SCAN level.

a = 2.9953 Å, b = 2.9953 Å, c = 7.1937 Å
α = 102.02°, β = 102.02°, γ = 90.00°
Last column: nearest neighbours and their distance in Å.
Fractional positions:
1 Ta 0.9976 0.9976 0.9953  4 Ta 3.00, 4 Zr 3.04, 4 Tl 3.11
2 Tl 0.6632 0.6632 0.3264  4 Tl 3.00, 4 Ta 3.11, 4 Zr 3.22
3 Zr 0.3392 0.3392 0.6784  4 Zr 3.00, 4 Ta 3.04, 4 Tl 3.22

Values from the calculation:
Total moment (μB per formula unit): 0.00
Fermi-level density of states (states/eV per atom): 0.471
Energy of formation (eV per atom): 0.1209



7.
Below is a PBEsol-optimized structure of Ba2PtClO, with properties calculated at the SCAN level.

a = 4.4396 Å, b = 5.7551 Å, c = 5.7551 Å
α = 90.00°, β = 90.00°, γ = 90.00°
Last column: nearest neighbours and their distance in Å.
Fractional positions:
1 O 0.5000 0.5000 0.5000  8 Ba 3.63, 4 Pt 4.07
2 Ba 0.0000 0.0000 0.5000  2 Cl 2.88
3 Ba 0.0000 0.5000 0.0000  2 Cl 2.88
4 Pt 0.5000 0.0000 0.0000  2 Cl 2.22
5 Cl 0.0000 0.0000 0.0000  2 Pt 2.22

Values from the calculation:
DFT total energy (eV for the cell shown): -167.4
Total moment (μB per formula unit): 0.00
Fermi-level density of states (states/eV per atom): 0.274



8.
Below is a PBEsol-optimized structure of LiZn2Re, with properties calculated at the SCAN level.

a = 2.7606 Å, b = 4.3860 Å, c = 4.3832 Å
α = 90.00°, β = 90.00°, γ = 90.00°
Last column: nearest neighbours and their distance in Å.
Fractional positions:
1 Li 0.5000 0.5000 0.0000  4 Re 2.59, 4 Zn 2.59, 2 Li 2.76
2 Re 0.0000 0.5000 0.5000  4 Li 2.59, 4 Zn 2.59, 2 Re 2.76
3 Zn 0.0000 0.0000 0.0000  6 Zn 2.59-2.76, 4 Li 2.59
4 Zn 0.5000 0.0000 0.5000  6 Zn 2.59-2.76, 4 Re 2.59

Values from the calculation:
Total moment (μB per formula unit): 0.00
Fermi-level density of states (states/eV per atom): 0.347
Energy of formation (eV per atom): 0.2950
Polymorph energy (0 for the lowest one) (eV per atom): 0.287



9.
Below is a PBEsol-optimized structure of Al6Ag5, with properties calculated at the SCAN level.

a = 4.8936 Å, b = 6.3601 Å, c = 6.3153 Å
α = 106.22°, β = 103.92°, γ = 98.19°
Last column: nearest neighbours and their distance in Å.
Fractional positions:
1 Al 0.0897 0.8221 0.3568  7 Ag 2.79-2.87, 5 Al 2.84-2.92
2 Al 0.1824 0.6359 0.7243  7 Ag 2.80-2.93, 5 Al 2.83-2.86
3 Al 0.2774 0.4597 0.0967  6 Ag 2.79-2.84, 6 Al 2.83-2.93
4 Al 0.8162 0.3599 0.2757  6 Ag 2.76-2.86, 6 Al 2.80-2.90
5 Al 0.9063 0.1794 0.6368  6 Ag 2.73-2.89, 6 Al 2.80-2.93
6 Al 0.4527 0.0896 0.8214  6 Ag 2.72-2.89, 6 Al 2.81-2.92
7 Ag 0.0019 0.0075 0.9918  7 Al 2.72-2.88, 5 Ag 2.83-2.96
8 Ag 0.5454 0.9119 0.1782  7 Al 2.76-2.89, 5 Ag 2.83-2.91
9 Ag 0.6367 0.7265 0.5416  8 Al 2.80-2.89, 4 Ag 2.83-2.93
10 Ag 0.7354 0.5354 0.9169  8 Al 2.76-2.93, 4 Ag 2.90-2.96
11 Ag 0.3559 0.2721 0.4597  8 Al 2.76-2.87, 4 Ag 2.86-2.91

Values from the calculation:
Total moment (μB per formula unit): 0.01
Fermi-level density of states (states/eV per atom): 0.341
Energy of formation (eV per atom): -0.0514
Polymorph energy (0 for the lowest one) (eV per atom): 0.018



10.
Below is a PBEsol-optimized structure of TlIn2P, with properties calculated at the SCAN level.

a = 3.8759 Å, b = 3.8759 Å, c = 7.8640 Å
α = 75.73°, β = 75.73°, γ = 60.00°
Last column: nearest neighbours and their distance in Å.
Fractional positions:
1 P 0.5000 0.5000 0.5000  6 In 2.70
2 Tl 0.0000 0.0000 0.0000  6 In 3.18
3 In 0.2337 0.2337 0.2988  3 P 2.70
4 In 0.7663 0.7663 0.7012  3 P 2.70

Values from the calculation:
Total moment (μB per formula unit): 0.00
Fermi-level density of states (states/eV per atom): 0.307
Energy of formation (eV per atom): -0.0377
Polymorph energy (0 for the lowest one) (eV per atom): 0.000



11.
Below is a PBEsol-optimized structure of Li3PbCl, with properties calculated at the SCAN level.

a = 4.6387 Å, b = 4.6387 Å, c = 4.6387 Å
α = 90.00°, β = 90.00°, γ = 90.00°
Last column: nearest neighbours and their distance in Å.
Fractional positions:
1 Pb 0.5000 0.5000 0.5000  12 Li 3.28
2 Li 0.0000 0.5000 0.0000  2 Cl 2.32
3 Li 0.0000 0.0000 0.5000  2 Cl 2.32
4 Li 0.5000 0.0000 0.0000  2 Cl 2.32
5 Cl 0.0000 0.0000 0.0000  6 Li 2.32

Values from the calculation:
Total moment (μB per formula unit): 0.00
Fermi-level density of states (states/eV per atom): 0.384
Polymorph energy (0 for the lowest one) (eV per atom): 0.000



12.
Below is a PBEsol-optimized structure of La3Cu, with properties calculated at the SCAN level.

a = 5.6004 Å, b = 5.6004 Å, c = 5.6004 Å
α = 90.00°, β = 90.00°, γ = 90.00°
Last column: nearest neighbours and their distance in Å.
Fractional positions:
1 Cu 0.0000 0.0000 0.0000  6 La 2.80
2 La 0.0000 0.0000 0.5000  2 Cu 2.80
3 La 0.0000 0.5000 0.0000  2 Cu 2.80
4 La 0.5000 0.0000 0.0000  2 Cu 2.80

Values from the calculation:
Total moment (μB per formula unit): 0.02
Fermi-level density of states (states/eV per atom): 1.783
Energy of formation (eV per atom): 0.4984



total moment of number 4 (CrTc)?
0.00 μB per formula unit